Entry 1:
# ReAgRu2

A PBEsol-optimized structure of ReAgRu2 (meta-GGA SCAN, Alexandria via LeMat-Bulk).

It has space group Fm-3m (No. 225), with a = 6.133 Å, b = 6.133 Å, c = 6.133 Å, α = 90.00°, β = 90.00° and γ = 90.00°. The asymmetric unit holds Re at (0.000, 0.000, 0.000), Ag at (0.000, 0.000, 0.500) and Ru at (0.250, 0.250, 0.250).

The value obtained for the final energy is -42.516 eV/atom. For the density of states at the Fermi level, the calculation gives 0.388 states/eV per atom. As for the mass density: 14.3 g/cm3.



Entry 2:
# Re2AgRu

A PBEsol-optimized structure of Re2AgRu (meta-GGA SCAN, Alexandria via LeMat-Bulk).

It has space group R-3m (No. 166, hexagonal axes), with a = 2.7132 Å, b = 2.7132 Å, c = 27.6439 Å, α = 90.00°, β = 90.00° and γ = 120.00°. The asymmetric unit holds Re at (0.0000, 0.0000, 0.2450), Ag at (0.0000, 0.0000, 0.0000) and Ru at (0.0000, 0.0000, 0.5000).

The value obtained for the final energy is -51.802 eV/atom. For the density of states at the Fermi level, the calculation gives 0.860 states/eV per atom. As for the mass density: 16.4 g/cm3.



Entry 3:
# Re2AgRu

A PBEsol-optimized structure of Re2AgRu (meta-GGA SCAN, Alexandria via LeMat-Bulk).

It has space group F-43m (No. 216), with a = 6.177 Å, b = 6.177 Å, c = 6.177 Å, α = 90.00°, β = 90.00° and γ = 90.00°. The asymmetric unit holds Re at (0.000, 0.000, 0.000), Re at (0.250, 0.250, 0.250), Ag at (0.000, 0.000, 0.500) and Ru at (0.250, 0.250, 0.750).

The value obtained for the final energy is -51.502 eV/atom. For the density of states at the Fermi level, the calculation gives 1.065 states/eV per atom. As for the mass density: 16.4 g/cm3.



Entry 4:
# ReAg2RuW

A PBEsol-optimized structure of ReAg2RuW (meta-GGA SCAN, Alexandria via LeMat-Bulk).

It has space group P4/mmm (No. 123), with a = 4.865 Å, b = 4.865 Å, c = 4.580 Å, α = 90.00°, β = 90.00° and γ = 90.00°. The asymmetric unit holds Re at (0.000, 0.000, 0.000), Ag at (0.000, 0.500, 0.000), Ru at (0.500, 0.500, 0.500) and W at (0.000, 0.000, 0.500).

The value obtained for the final energy is -45.362 eV/atom. For the density of states at the Fermi level, the calculation gives 0.804 states/eV per atom. As for the mass density: 10.5 g/cm3.



Entry 5:
# ReAg2Sb2

A PBEsol-optimized structure of ReAg2Sb2 (meta-GGA SCAN, Alexandria via LeMat-Bulk).

It has space group I4/mmm (No. 139), with a = 3.503 Å, b = 3.503 Å, c = 16.639 Å, α = 90.00°, β = 90.00° and γ = 90.00°. The asymmetric unit holds Re at (0.000, 0.000, 0.000), Ag at (0.000, 0.500, 0.250) and Sb at (0.000, 0.000, 0.407).

The calculation puts the formation energy without anion corrections at 0.65 eV per atom. The value obtained for the final energy is -41.022 eV/atom. For the density of states at the Fermi level, the calculation gives 0.505 states/eV per atom. As for the mass density: 10.5 g/cm3.



Entry 6:
# ReAgSbTe2

A PBEsol-optimized structure of ReAgSbTe2 (meta-GGA SCAN, Alexandria via LeMat-Bulk).

It has space group P4/mmm (No. 123), with a = 5.194 Å, b = 5.194 Å, c = 5.109 Å, α = 90.00°, β = 90.00° and γ = 90.00°. The asymmetric unit holds Re at (0.000, 0.000, 0.000), Ag at (0.500, 0.500, 0.500), Sb at (0.000, 0.000, 0.500) and Te at (0.000, 0.500, 0.000).

The calculation puts the formation energy without anion corrections at 0.88 eV per atom. The value obtained for the final energy is -41.966 eV/atom. For the density of states at the Fermi level, the calculation gives 0.831 states/eV per atom. As for the mass density: 8.1 g/cm3.



Entry 7:
# ReAgSe

A PBEsol-optimized structure of ReAgSe (meta-GGA SCAN, Alexandria via LeMat-Bulk).

It has space group P-6m2 (No. 187), with a = 4.5837 Å, b = 4.5837 Å, c = 2.6517 Å, α = 90.00°, β = 90.00° and γ = 120.00°. The asymmetric unit holds Re at (0.0000, 0.0000, 0.0000), Ag at (0.6667, 0.3333, 0.5000) and Se at (0.3333, 0.6667, 0.0000).

The calculation puts the formation energy without anion corrections at 0.85 eV per atom. The value obtained for the final energy is -40.000 eV/atom. For the density of states at the Fermi level, the calculation gives 0.667 states/eV per atom. As for the mass density: 12.8 g/cm3.



Entry 8:
# ReAgSe

A PBEsol-optimized structure of ReAgSe (meta-GGA SCAN, Alexandria via LeMat-Bulk).

It has space group Fmm2 (No. 42), with a = 2.966 Å, b = 4.882 Å, c = 14.290 Å, α = 90.00°, β = 90.00° and γ = 90.00°. The asymmetric unit holds Re at (0.000, 0.000, 0.000), Ag at (0.000, 0.000, 0.334) and Se at (0.000, 0.000, 0.637).

The calculation puts the formation energy without anion corrections at 0.72 eV per atom. The value obtained for the final energy is -40.123 eV/atom. For the density of states at the Fermi level, the calculation gives 0.732 states/eV per atom. As for the mass density: 12.0 g/cm3.



Entry 9:
# ReAgSe2

A PBEsol-optimized structure of ReAgSe2 (meta-GGA SCAN, Alexandria via LeMat-Bulk).

It has space group Pm (No. 6), with a = 3.188 Å, b = 3.699 Å, c = 6.930 Å, α = 90.00°, β = 103.01° and γ = 90.00°. The asymmetric unit holds Re at (0.000, 0.000, 0.000), Ag at (0.399, 0.500, 0.793), Se at (0.112, 0.500, 0.229) and Se at (0.822, 0.000, 0.637).

The calculation puts the formation energy without anion corrections at 0.41 eV per atom. The value obtained for the final energy is -35.243 eV/atom. For the density of states at the Fermi level, the calculation gives 0.590 states/eV per atom. As for the mass density: 9.4 g/cm3.



Entry 10:
# ReSi2Ag

A PBEsol-optimized structure of ReSi2Ag (meta-GGA SCAN, Alexandria via LeMat-Bulk).

It has space group F-43m (No. 216), with a = 6.172 Å, b = 6.172 Å, c = 6.172 Å, α = 90.00°, β = 90.00° and γ = 90.00°. The asymmetric unit holds Re at (0.000, 0.000, 0.000), Si at (0.000, 0.000, 0.500), Si at (0.250, 0.250, 0.250) and Ag at (0.250, 0.250, 0.750).

The calculation puts the formation energy without anion corrections at 0.87 eV per atom. The value obtained for the final energy is -29.756 eV/atom. For the density of states at the Fermi level, the calculation gives 0.646 states/eV per atom. As for the mass density: 9.9 g/cm3.



Entry 11:
# ReSi2Ag

A PBEsol-optimized structure of ReSi2Ag (meta-GGA SCAN, Alexandria via LeMat-Bulk).

It has space group P4/mmm (No. 123), with a = 4.226 Å, b = 4.226 Å, c = 3.122 Å, α = 90.00°, β = 90.00° and γ = 90.00°. The asymmetric unit holds Re at (0.000, 0.000, 0.000), Si at (0.000, 0.500, 0.500) and Ag at (0.500, 0.500, 0.000).

The calculation puts the formation energy without anion corrections at 0.38 eV per atom. The value obtained for the final energy is -30.247 eV/atom. For the density of states at the Fermi level, the calculation gives 0.625 states/eV per atom. As for the mass density: 10.4 g/cm3.



Entry 12:
# ReSi2Ag

A PBEsol-optimized structure of ReSi2Ag (meta-GGA SCAN, Alexandria via LeMat-Bulk).

It has space group I4/mmm (No. 139), with a = 3.968 Å, b = 3.968 Å, c = 7.131 Å, α = 90.00°, β = 90.00° and γ = 90.00°. The asymmetric unit holds Re at (0.000, 0.000, 0.000), Si at (0.000, 0.500, 0.250) and Ag at (0.000, 0.000, 0.500).

The calculation puts the formation energy without anion corrections at 0.37 eV per atom. The value obtained for the final energy is -30.256 eV/atom. For the density of states at the Fermi level, the calculation gives 0.118 states/eV per atom. As for the mass density: 10.4 g/cm3.



Entry 13:
# ReSiAg2

A PBEsol-optimized structure of ReSiAg2 (meta-GGA SCAN, Alexandria via LeMat-Bulk).

It has space group Pmmm (No. 47), with a = 2.867 Å, b = 4.332 Å, c = 4.850 Å, α = 90.00°, β = 90.00° and γ = 90.00°. The asymmetric unit holds Re at (0.000, 0.000, 0.000), Si at (0.500, 0.500, 0.000), Ag at (0.000, 0.500, 0.500) and Ag at (0.500, 0.000, 0.500).

The calculation puts the formation energy without anion corrections at 0.43 eV per atom. The value obtained for the final energy is -35.530 eV/atom. For the density of states at the Fermi level, the calculation gives 0.292 states/eV per atom. As for the mass density: 11.9 g/cm3.



Entry 14:
# ReSiAg2

A PBEsol-optimized structure of ReSiAg2 (meta-GGA SCAN, Alexandria via LeMat-Bulk).

It has space group C2/m (No. 12), with a = 10.735 Å, b = 2.774 Å, c = 4.399 Å, α = 90.00°, β = 114.11° and γ = 90.00°. The asymmetric unit holds Re at (0.000, 0.000, 0.000), Si at (0.000, 0.500, 0.500) and Ag at (0.227, 0.000, 0.727).

The calculation puts the formation energy without anion corrections at 0.37 eV per atom. The value obtained for the final energy is -35.589 eV/atom. For the density of states at the Fermi level, the calculation gives 0.318 states/eV per atom. As for the mass density: 11.9 g/cm3.



Entry 15:
# ReSiAg2

A PBEsol-optimized structure of ReSiAg2 (meta-GGA SCAN, Alexandria via LeMat-Bulk).

It has space group Imm2 (No. 44), with a = 3.001 Å, b = 4.600 Å, c = 8.881 Å, α = 90.00°, β = 90.00° and γ = 90.00°. The asymmetric unit holds Re at (0.000, 0.000, 0.000), Si at (0.000, 0.500, 0.706), Ag at (0.000, 0.000, 0.441) and Ag at (0.000, 0.500, 0.217).

The calculation puts the formation energy without anion corrections at 0.61 eV per atom. The value obtained for the final energy is -35.355 eV/atom. For the density of states at the Fermi level, the calculation gives 0.621 states/eV per atom. As for the mass density: 11.6 g/cm3.